KCo2Tc, relaxed, DFT PBE; N(E_F) = 4.9 states/eV/f.u.; electronic total energy = -5.59 eV per atom; E above lowest polymorph = 0.1430 eV/atom; SG = Cm (8)
1.0
8.444 0.000 0.000
0.000 2.656 0.000
-0.655 0.000 6.909
K Co Tc
2 4 2
Direct
0.000 0.000 0.000 K
0.500 0.500 0.000 K
0.275 0.500 0.341 Co
0.488 0.000 0.492 Co
0.775 0.000 0.341 Co
0.988 0.500 0.492 Co
0.222 0.000 0.619 Tc
0.722 0.500 0.619 Tc